1.
Here is an optimized crystal structure of Ba2SrAlPt from the Alexandria database. Energies are from PBE.

Lattice parameters (Å, degrees): 6.2736 6.2736 6.0357 90.00 90.00 90.00
Last column: nearest neighbours and their distance in Å.
Space group P4/mmm (No. 123)
One atom of each set of equivalent atoms:
Ba1 0.0000 0.5000 0.0000 (multiplicity 2)  2 Al 3.14
Sr1 0.0000 0.0000 0.5000 (multiplicity 1)  2 Al 3.02
Al1 0.0000 0.0000 0.0000 (multiplicity 1)  2 Sr 3.02, 4 Ba 3.14
Pt1 0.5000 0.5000 0.5000 (multiplicity 1)  8 Ba 4.35, 4 Sr 4.44

Output
Excess energy over the best structure of this formula in the dataset, kJ/mol of formula units: 333
Total magnetic moment, μB/f.u.: 0.0
VASP energy, hartree per atom: -0.099
N(E_F), states/eV per atom: 0.707
ΔH_f (0 K), eV per formula unit: 1.8

2.
Here is an optimized crystal structure of Ba2SrAl12Pt3 from the Alexandria database. Energies are from PBE.

Lattice parameters (Å, degrees): 8.6943 8.6943 23.1011 90.00 90.00 120.00
Last column: nearest neighbours and their distance in Å.
Space group R-3m (No. 166, hexagonal axes)
One atom of each set of equivalent atoms:
Ba1 0.0000 0.0000 0.1033 (multiplicity 6)  6 Al 3.37-3.43
Sr1 0.0000 0.0000 0.5000 (multiplicity 3)  6 Al 3.67
Al1 0.0286 0.5143 0.3465 (multiplicity 18)  2 Pt 2.43
Al2 0.1101 0.2201 0.2306 (multiplicity 18)  1 Pt 2.52
Pt1 0.0000 0.5000 0.0000 (multiplicity 9)  6 Al 2.43-2.52

Output
Total magnetic moment, μB/f.u.: 0.0
VASP energy, hartree per atom: -0.146
N(E_F), states/eV per atom: 0.609
ΔH_f (0 K), eV per formula unit: -2.8

3.
Here is an optimized crystal structure of Ba2SrAlPt from the Alexandria database. Energies are from PBE.

Lattice parameters (Å, degrees): 6.3292 6.3292 4.9706 90.00 90.00 90.00
Last column: nearest neighbours and their distance in Å.
Space group P4/mmm (No. 123)
One atom of each set of equivalent atoms:
Ba1 0.0000 0.5000 0.0000 (multiplicity 2)  2 Pt 3.16
Sr1 0.0000 0.0000 0.5000 (multiplicity 1)  8 Ba 4.02, 4 Al 4.48
Al1 0.5000 0.5000 0.5000 (multiplicity 1)  2 Pt 2.49
Pt1 0.5000 0.5000 0.0000 (multiplicity 1)  2 Al 2.49

Output
Excess energy over the best structure of this formula in the dataset, kJ/mol of formula units: 0
Total magnetic moment, μB/f.u.: 0.0
VASP energy, hartree per atom: -0.125
N(E_F), states/eV per atom: 0.843
ΔH_f (0 K), eV per formula unit: -1.7

4.
Here is an optimized crystal structure of BaSr2AlPt from the Alexandria database. Energies are from PBE.

Lattice parameters (Å, degrees): 5.9912 5.9912 5.0178 90.00 90.00 90.00
Last column: nearest neighbours and their distance in Å.
Space group P4/mmm (No. 123)
One atom of each set of equivalent atoms:
Ba1 0.0000 0.0000 0.0000 (multiplicity 1)  8 Sr 3.91, 4 Al 4.24
Sr1 0.0000 0.5000 0.5000 (multiplicity 2)  2 Pt 3.00
Al1 0.5000 0.5000 0.0000 (multiplicity 1)  2 Pt 2.51
Pt1 0.5000 0.5000 0.5000 (multiplicity 1)  2 Al 2.51

Output
Total magnetic moment, μB/f.u.: 0.0
VASP energy, hartree per atom: -0.125
N(E_F), states/eV per atom: 0.853
ΔH_f (0 K), eV per formula unit: -1.9

5.
Here is an optimized crystal structure of Ba2AlZn6Pt from the Alexandria database. Energies are from PBE.

Lattice parameters (Å, degrees): 6.5990 6.7320 7.1201 63.20 62.41 60.69
Last column: nearest neighbours and their distance in Å.
Space group P-1 (No. 2)
One atom of each set of equivalent atoms:
Ba1 0.2131 0.1984 0.3753 (multiplicity 2)  12 Zn 3.52-3.72, 1 Pt 3.77, 2 Al 3.93
Al1 0.5000 0.5000 0.5000 (multiplicity 1)  6 Zn 2.61-2.62
Zn1 0.2395 0.2621 0.8459 (multiplicity 2)  1 Pt 2.49, 1 Al 2.61, 2 Zn 2.66-2.73
Zn2 0.2490 0.6484 0.8531 (multiplicity 2)  1 Pt 2.50, 1 Al 2.62, 2 Zn 2.65-2.66
Zn3 0.3478 0.7369 0.1530 (multiplicity 2)  1 Pt 2.49, 1 Al 2.61, 2 Zn 2.65-2.73
Pt1 0.0000 0.0000 0.0000 (multiplicity 1)  6 Zn 2.49-2.50

Output
Total magnetic moment, μB/f.u.: 0.0
VASP energy, hartree per atom: -0.090
N(E_F), states/eV per atom: 0.429
ΔH_f (0 K), eV per formula unit: -3.2

6.
Here is an optimized crystal structure of BaAlZnPt2 from the Alexandria database. Energies are from PBE.

Lattice parameters (Å, degrees): 4.3357 4.3357 11.4413 90.00 90.00 90.00
Last column: nearest neighbours and their distance in Å.
Space group I-4m2 (No. 119)
One atom of each set of equivalent atoms:
Ba1 0.0000 0.0000 0.0000 (multiplicity 2)  8 Pt 3.39, 4 Al 3.59, 4 Zn 3.59
Al1 0.0000 0.5000 0.2500 (multiplicity 2)  4 Pt 2.58
Zn1 0.0000 0.5000 0.7500 (multiplicity 2)  4 Pt 2.58
Pt1 0.0000 0.0000 0.3728 (multiplicity 4)  2 Al 2.58, 2 Zn 2.58

Output
Total magnetic moment, μB/f.u.: 0.0
VASP energy, hartree per atom: -0.168
N(E_F), states/eV per atom: 0.463
ΔH_f (0 K), eV per formula unit: -3.8